VASP calculation (PBE) on a geometry-optimized TmZnGa2Co2 structure.

Cell lengths 4.363, 4.363, 5.372 Å; angles 90.00, 90.00, 90.00 degrees
Space group P4/mmm (No. 123)
Inequivalent atoms, fractional coordinates:
Tm (0.000, 0.000, 0.000) (multiplicity 1)
Zn (0.000, 0.000, 0.500) (multiplicity 1)
Ga (0.500, 0.500, 0.246) (multiplicity 2)
Co (0.000, 0.500, 0.500) (multiplicity 2)

Calculated values
formation enthalpy at 0 K	-0.027	eV/atom
D(E_F)	3.58	states/eV/f.u.
DFT total energy	-4.36	eV per atom
total moment	1.3	μB/f.u.

VASP calculation (PBE) on a geometry-optimized TmZrGaCo structure.

Cell lengths 6.717, 6.717, 6.717 Å; angles 90.00, 90.00, 90.00 degrees
Space group F-43m (No. 216)
Inequivalent atoms, fractional coordinates:
Tm (0.000, 0.000, 0.000) (multiplicity 4)
Zr (0.000, 0.000, 0.500) (multiplicity 4)
Ga (0.250, 0.250, 0.250) (multiplicity 4)
Co (0.250, 0.250, 0.750) (multiplicity 4)

Calculated values
formation enthalpy at 0 K	-0.309	eV/atom
D(E_F)	2.51	states/eV/f.u.
DFT total energy	-6.10	eV per atom
total moment	0.9	μB/f.u.

VASP calculation (PBE) on a geometry-optimized U2Ga2Co5 structure.

Cell lengths 10.546, 4.504, 6.683 Å; angles 90.00, 121.08, 90.00 degrees
Space group C2/m (No. 12)
Inequivalent atoms, fractional coordinates:
U (0.135, 0.000, 0.315) (multiplicity 4)
Ga (0.162, 0.500, 0.911) (multiplicity 4)
Co (0.000, 0.500, 0.500) (multiplicity 2)
Co (0.100, 0.500, 0.217) (multiplicity 4)
Co (0.132, 0.000, 0.669) (multiplicity 4)

Calculated values
formation enthalpy at 0 K	-0.099	eV/atom
D(E_F)	11.49	states/eV/f.u.
DFT total energy	-7.23	eV per atom
total moment	0.2	μB/f.u.

VASP calculation (PBE) on a geometry-optimized U2GaCo7 structure.

Cell lengths 3.583, 3.583, 21.513 Å; angles 90.00, 90.00, 90.00 degrees
Space group I4/mmm (No. 139)
Inequivalent atoms, fractional coordinates:
U (0.000, 0.000, 0.163) (multiplicity 4)
Ga (0.000, 0.000, 0.500) (multiplicity 2)
Co (0.000, 0.000, 0.000) (multiplicity 2)
Co (0.000, 0.500, 0.084) (multiplicity 8)
Co (0.000, 0.500, 0.250) (multiplicity 4)

Calculated values
formation enthalpy at 0 K	-0.005	eV/atom
D(E_F)	9.47	states/eV/f.u.
DFT total energy	-7.54	eV per atom
total moment	1.8	μB/f.u.

VASP calculation (PBE) on a geometry-optimized U2GaCo9 structure.

Cell lengths 3.759, 3.759, 10.744 Å; angles 90.00, 90.00, 90.00 degrees
Space group P4/mmm (No. 123)
Inequivalent atoms, fractional coordinates:
U (0.000, 0.000, 0.176) (multiplicity 2)
Ga (0.000, 0.000, 0.500) (multiplicity 1)
Co (0.000, 0.500, 0.000) (multiplicity 2)
Co (0.000, 0.500, 0.345) (multiplicity 4)
Co (0.500, 0.500, 0.174) (multiplicity 2)
Co (0.500, 0.500, 0.500) (multiplicity 1)

Calculated values
formation enthalpy at 0 K	-0.200	eV/atom
D(E_F)	10.00	states/eV/f.u.
DFT total energy	-7.66	eV per atom
total moment	5.3	μB/f.u.

VASP calculation (PBE) on a geometry-optimized UGa3Co structure.

Cell lengths 5.578, 5.758, 5.795 Å; angles 64.42, 85.35, 89.97 degrees
Space group P-1 (No. 2)
Inequivalent atoms, fractional coordinates:
U (0.011, 0.332, 0.256) (multiplicity 2)
Ga (0.176, 0.142, 0.825) (multiplicity 2)
Ga (0.463, 0.723, 0.991) (multiplicity 2)
Ga (0.500, 0.000, 0.500) (multiplicity 1)
Ga (0.500, 0.500, 0.500) (multiplicity 1)
Co (0.217, 0.845, 0.304) (multiplicity 2)

Calculated values
formation enthalpy at 0 K	-0.204	eV/atom
polymorph energy (0 for the lowest one)	43	meV/atom
D(E_F)	5.03	states/eV/f.u.
DFT total energy	-5.70	eV per atom
total moment	1.6	μB/f.u.

VASP calculation (PBE) on a geometry-optimized UGa4Co structure.

Cell lengths 4.780, 6.279, 14.235 Å; angles 90.00, 90.00, 90.00 degrees
Space group Immm (No. 71)
Inequivalent atoms, fractional coordinates:
U (0.000, 0.000, 0.210) (multiplicity 4)
Ga (0.000, 0.186, 0.000) (multiplicity 4)
Ga (0.000, 0.266, 0.392) (multiplicity 8)
Ga (0.000, 0.500, 0.154) (multiplicity 4)
Co (0.238, 0.000, 0.500) (multiplicity 4)

Calculated values
formation enthalpy at 0 K	-0.109	eV/atom
D(E_F)	9.48	states/eV/f.u.
DFT total energy	-5.19	eV per atom
total moment	2.9	μB/f.u.

VASP calculation (PBE) on a geometry-optimized UGaCo4 structure.

Cell lengths 8.609, 3.398, 5.965 Å; angles 90.00, 116.81, 90.00 degrees
Space group C2/m (No. 12)
Inequivalent atoms, fractional coordinates:
U (0.000, 0.000, 0.000) (multiplicity 2)
Ga (0.000, 0.000, 0.500) (multiplicity 2)
Co (0.155, 0.500, 0.339) (multiplicity 4)
Co (0.187, 0.500, 0.808) (multiplicity 4)

Calculated values
formation enthalpy at 0 K	-0.137	eV/atom
polymorph energy (0 for the lowest one)	53	meV/atom
D(E_F)	6.07	states/eV/f.u.
DFT total energy	-7.26	eV per atom
total moment	0.0	μB/f.u.

VASP calculation (PBE) on a geometry-optimized UGaCo2 structure.

Cell lengths 4.632, 4.241, 6.402 Å; angles 90.00, 105.00, 90.00 degrees
Space group P2_1/m (No. 11)
Inequivalent atoms, fractional coordinates:
U (0.186, 0.250, 0.217) (multiplicity 2)
Ga (0.283, 0.250, 0.711) (multiplicity 2)
Co (0.318, 0.750, 0.930) (multiplicity 2)
Co (0.328, 0.750, 0.520) (multiplicity 2)

Calculated values
formation enthalpy at 0 K	-0.291	eV/atom
D(E_F)	5.31	states/eV/f.u.
DFT total energy	-7.42	eV per atom
total moment	0.7	μB/f.u.

VASP calculation (PBE) on a geometry-optimized U4GaCo12 structure.

Cell lengths 7.703, 7.703, 7.703 Å; angles 90.00, 90.00, 90.00 degrees
Space group Im-3m (No. 229)
Inequivalent atoms, fractional coordinates:
U (0.250, 0.250, 0.250) (multiplicity 8)
Ga (0.000, 0.000, 0.000) (multiplicity 2)
Co (0.000, 0.000, 0.299) (multiplicity 12)
Co (0.000, 0.250, 0.500) (multiplicity 12)

Calculated values
formation enthalpy at 0 K	-0.179	eV/atom
D(E_F)	13.92	states/eV/f.u.
DFT total energy	-8.03	eV per atom
total moment	0.1	μB/f.u.

VASP calculation (PBE) on a geometry-optimized UGa3Co structure.

Cell lengths 7.837, 3.701, 11.141 Å; angles 90.00, 90.00, 90.00 degrees
Space group Pnma (No. 62)
Inequivalent atoms, fractional coordinates:
U (0.120, 0.250, 0.005) (multiplicity 4)
Ga (0.058, 0.250, 0.423) (multiplicity 4)
Ga (0.092, 0.750, 0.231) (multiplicity 4)
Ga (0.158, 0.750, 0.781) (multiplicity 4)
Co (0.144, 0.250, 0.631) (multiplicity 4)

Calculated values
formation enthalpy at 0 K	-0.247	eV/atom
polymorph energy (0 for the lowest one)	0	meV/atom
D(E_F)	4.91	states/eV/f.u.
DFT total energy	-5.74	eV per atom
total moment	0.6	μB/f.u.

VASP calculation (PBE) on a geometry-optimized U2GaCo4 structure.

Cell lengths 5.791, 5.791, 6.540 Å; angles 90.00, 90.00, 90.00 degrees
Space group I4/mmm (No. 139)
Inequivalent atoms, fractional coordinates:
U (0.000, 0.500, 0.250) (multiplicity 4)
Ga (0.000, 0.000, 0.000) (multiplicity 2)
Co (0.206, 0.206, 0.500) (multiplicity 8)

Calculated values
formation enthalpy at 0 K	-0.035	eV/atom
D(E_F)	9.38	states/eV/f.u.
DFT total energy	-7.75	eV per atom
total moment	0.0	μB/f.u.

VASP calculation (PBE) on a geometry-optimized U2GaCo2 structure.

Cell lengths 7.094, 7.094, 3.376 Å; angles 90.00, 90.00, 90.00 degrees
Space group P4/mbm (No. 127)
Inequivalent atoms, fractional coordinates:
U (0.173, 0.327, 0.000) (multiplicity 4)
Ga (0.000, 0.000, 0.500) (multiplicity 2)
Co (0.134, 0.634, 0.500) (multiplicity 4)

Calculated values
formation enthalpy at 0 K	-0.258	eV/atom
D(E_F)	5.11	states/eV/f.u.
DFT total energy	-8.22	eV per atom
total moment	0.2	μB/f.u.

VASP calculation (PBE) on a geometry-optimized UGaCo3 structure.

Cell lengths 5.188, 6.983, 7.905 Å; angles 90.00, 90.00, 90.00 degrees
Space group Imma (No. 74)
Inequivalent atoms, fractional coordinates:
U (0.000, 0.250, 0.019) (multiplicity 4)
Ga (0.000, 0.000, 0.500) (multiplicity 4)
Co (0.000, 0.250, 0.736) (multiplicity 4)
Co (0.250, 0.061, 0.250) (multiplicity 8)

Calculated values
formation enthalpy at 0 K	-0.165	eV/atom
D(E_F)	5.93	states/eV/f.u.
DFT total energy	-7.29	eV per atom
total moment	0.1	μB/f.u.

VASP calculation (PBE) on a geometry-optimized UGa5Co structure.

Cell lengths 4.238, 4.238, 6.708 Å; angles 90.00, 90.00, 90.00 degrees
Space group P4/mmm (No. 123)
Inequivalent atoms, fractional coordinates:
U (0.000, 0.000, 0.000) (multiplicity 1)
Ga (0.000, 0.500, 0.307) (multiplicity 4)
Ga (0.500, 0.500, 0.000) (multiplicity 1)
Co (0.000, 0.000, 0.500) (multiplicity 1)

Calculated values
formation enthalpy at 0 K	-0.326	eV/atom
D(E_F)	4.81	states/eV/f.u.
DFT total energy	-5.12	eV per atom
total moment	0.8	μB/f.u.

VASP calculation (PBE) on a geometry-optimized U2Ga5Co3 structure.

Cell lengths 4.063, 23.685, 6.671 Å; angles 90.00, 90.00, 90.00 degrees
Space group Cmc2_1 (No. 36)
Inequivalent atoms, fractional coordinates:
U (0.000, 0.027, 0.000) (multiplicity 4)
U (0.000, 0.323, 0.092) (multiplicity 4)
Ga (0.000, 0.098, 0.388) (multiplicity 4)
Ga (0.000, 0.204, 0.907) (multiplicity 4)
Ga (0.000, 0.209, 0.294) (multiplicity 4)
Ga (0.000, 0.371, 0.545) (multiplicity 4)
Ga (0.000, 0.447, 0.160) (multiplicity 4)
Co (0.000, 0.104, 0.782) (multiplicity 4)
Co (0.000, 0.264, 0.605) (multiplicity 4)
Co (0.000, 0.454, 0.778) (multiplicity 4)

Calculated values
formation enthalpy at 0 K	-0.280	eV/atom
D(E_F)	11.90	states/eV/f.u.
DFT total energy	-6.18	eV per atom
total moment	1.9	μB/f.u.

VASP calculation (PBE) on a geometry-optimized UGaCo2 structure.

Cell lengths 2.911, 2.911, 6.636 Å; angles 90.00, 90.00, 90.00 degrees
Space group P4/mmm (No. 123)
Inequivalent atoms, fractional coordinates:
U (0.000, 0.000, 0.000) (multiplicity 1)
Ga (0.000, 0.000, 0.500) (multiplicity 1)
Co (0.500, 0.500, 0.282) (multiplicity 2)

Calculated values
formation enthalpy at 0 K	-0.202	eV/atom
D(E_F)	3.65	states/eV/f.u.
DFT total energy	-7.33	eV per atom
total moment	0.7	μB/f.u.

VASP calculation (PBE) on a geometry-optimized U4Ga12Co structure.

Cell lengths 8.560, 8.560, 8.560 Å; angles 90.00, 90.00, 90.00 degrees
Space group Im-3m (No. 229)
Inequivalent atoms, fractional coordinates:
U (0.250, 0.250, 0.250) (multiplicity 8)
Ga (0.000, 0.000, 0.283) (multiplicity 12)
Ga (0.000, 0.250, 0.500) (multiplicity 12)
Co (0.000, 0.000, 0.000) (multiplicity 2)

Calculated values
formation enthalpy at 0 K	-0.251	eV/atom
D(E_F)	26.78	states/eV/f.u.
DFT total energy	-5.46	eV per atom
total moment	9.3	μB/f.u.

VASP calculation (PBE) on a geometry-optimized UGaCo4 structure.

Cell lengths 6.832, 6.832, 6.832 Å; angles 90.00, 90.00, 90.00 degrees
Space group F-43m (No. 216)
Inequivalent atoms, fractional coordinates:
U (0.000, 0.000, 0.000) (multiplicity 4)
Ga (0.250, 0.250, 0.750) (multiplicity 4)
Co (0.123, 0.123, 0.377) (multiplicity 16)

Calculated values
formation enthalpy at 0 K	-0.190	eV/atom
polymorph energy (0 for the lowest one)	0	meV/atom
D(E_F)	8.13	states/eV/f.u.
DFT total energy	-7.31	eV per atom
total moment	0.7	μB/f.u.

VASP calculation (PBE) on a geometry-optimized V8Ga2Co structure.

Cell lengths 9.643, 8.076, 4.491 Å; angles 90.00, 105.74, 90.00 degrees
Space group C2/m (No. 12)
Inequivalent atoms, fractional coordinates:
V (0.075, 0.000, 0.294) (multiplicity 4)
V (0.096, 0.243, 0.858) (multiplicity 8)
V (0.220, 0.000, 0.899) (multiplicity 4)
Ga (0.141, 0.500, 0.514) (multiplicity 4)
Co (0.000, 0.500, 0.000) (multiplicity 2)

Calculated values
formation enthalpy at 0 K	0.366	eV/atom
D(E_F)	11.38	states/eV/f.u.
DFT total energy	-7.46	eV per atom
total moment	0.0	μB/f.u.